Entry 1:
The following is a PBE calculation of Zn6GaAu2 after structural relaxation, from the Alexandria database. Values from VASP.

Values from the calculation:
Symmetry: C2/c (15)
Formation enthalpy at 0 K (meV per atom): -59.8
Magnetization (μB/f.u.): 0.0

Structure (Quantum ESPRESSO input):
```
&SYSTEM
  ibrav = 0, nat = 18, ntyp = 3
/
ATOMIC_SPECIES
Zn 65.41 Zn.upf
Ga 69.72 Ga.upf
Au 196.97 Au.upf
ATOMIC_POSITIONS crystal
Zn 0.448 0.723 0.360
Zn 0.052 0.640 0.277
Zn 0.552 0.277 0.640
Zn 0.948 0.360 0.723
Zn 0.813 0.088 0.469
Zn 0.687 0.531 0.912
Zn 0.187 0.912 0.531
Zn 0.313 0.469 0.088
Zn 0.065 0.774 0.908
Zn 0.435 0.092 0.226
Zn 0.935 0.226 0.092
Zn 0.565 0.908 0.774
Ga 0.250 0.135 0.865
Ga 0.750 0.865 0.135
Au 0.321 0.574 0.713
Au 0.179 0.287 0.426
Au 0.679 0.426 0.287
Au 0.821 0.713 0.574
CELL_PARAMETERS angstrom
-2.824 3.313 -4.960
-5.984 -1.753 2.856
-0.333 5.296 4.346
```

Entry 2:
The following is a PBE calculation of Zn2GaAu2 after structural relaxation, from the Alexandria database. Values from VASP.

Values from the calculation:
Symmetry: P4/mbm (127)
Formation enthalpy at 0 K (meV per atom): -121.2
Energy relative to the lowest polymorph listed for this composition (meV per atom): 58.8
Magnetization (μB/f.u.): 0.0

Structure (Quantum ESPRESSO input):
```
&SYSTEM
  ibrav = 0, nat = 10, ntyp = 3
/
ATOMIC_SPECIES
Zn 65.41 Zn.upf
Au 196.97 Au.upf
Ga 69.72 Ga.upf
ATOMIC_POSITIONS crystal
Zn 0.378 0.878 0.000
Zn 0.878 0.622 0.000
Zn 0.622 0.122 0.000
Zn 0.122 0.378 0.000
Au 0.175 0.675 0.500
Au 0.675 0.825 0.500
Au 0.825 0.325 0.500
Au 0.325 0.175 0.500
Ga 0.000 0.000 0.000
Ga 0.500 0.500 0.000
CELL_PARAMETERS angstrom
7.855 0.000 0.000
0.000 7.855 0.000
0.000 0.000 2.864
```

Entry 3:
The following is a PBE calculation of ZnGaAu after structural relaxation, from the Alexandria database. Values from VASP.

Values from the calculation:
Symmetry: F-43m (216)
Formation enthalpy at 0 K (meV per atom): -186.4
Magnetization (μB/f.u.): 0.0

Structure (Quantum ESPRESSO input):
```
&SYSTEM
  ibrav = 0, nat = 3, ntyp = 3
/
ATOMIC_SPECIES
Zn 65.41 Zn.upf
Au 196.97 Au.upf
Ga 69.72 Ga.upf
ATOMIC_POSITIONS crystal
Zn 0.000 0.000 0.000
Au 0.250 0.250 0.250
Ga 0.500 0.500 0.500
CELL_PARAMETERS angstrom
4.342 0.000 0.000
2.171 3.760 0.000
2.171 1.253 3.545
```

Entry 4:
The following is a PBE calculation of Zn2GaAu after structural relaxation, from the Alexandria database. Values from VASP.

Values from the calculation:
Symmetry: I-42d (122)
Formation enthalpy at 0 K (meV per atom): 37.6
Magnetization (μB/f.u.): 0.0

Structure (Quantum ESPRESSO input):
```
&SYSTEM
  ibrav = 0, nat = 8, ntyp = 3
/
ATOMIC_SPECIES
Zn 65.41 Zn.upf
Au 196.97 Au.upf
Ga 69.72 Ga.upf
ATOMIC_POSITIONS crystal
Zn 0.632 0.125 0.250
Zn 0.118 0.625 0.250
Zn 0.375 0.368 0.750
Zn 0.875 0.882 0.750
Au 0.000 0.000 0.000
Au 0.750 0.250 0.500
Ga 0.500 0.500 0.000
Ga 0.250 0.750 0.500
CELL_PARAMETERS angstrom
7.425 0.000 0.000
0.000 7.425 0.000
3.712 3.712 2.689
```

Entry 5:
The following is a PBE calculation of Zn2GaAu2 after structural relaxation, from the Alexandria database. Values from VASP.

Values from the calculation:
Symmetry: I4/mmm (139)
Formation enthalpy at 0 K (meV per atom): -4.1
Energy relative to the lowest polymorph listed for this composition (meV per atom): 176.0
Magnetization (μB/f.u.): 0.0

Structure (Quantum ESPRESSO input):
```
&SYSTEM
  ibrav = 0, nat = 5, ntyp = 3
/
ATOMIC_SPECIES
Zn 65.41 Zn.upf
Au 196.97 Au.upf
Ga 69.72 Ga.upf
ATOMIC_POSITIONS crystal
Zn 0.400 0.400 0.200
Zn 0.600 0.600 0.800
Au 0.750 0.250 0.500
Au 0.250 0.750 0.500
Ga 0.000 0.000 0.000
CELL_PARAMETERS angstrom
3.954 0.000 0.000
0.000 3.954 0.000
1.977 1.977 6.140
```

Entry 6:
The following is a PBE calculation of Zn4GaAu5 after structural relaxation, from the Alexandria database. Values from VASP.

Values from the calculation:
Symmetry: P4/mmm (123)
Formation enthalpy at 0 K (meV per atom): -182.6
Magnetization (μB/f.u.): 0.0

Structure (Quantum ESPRESSO input):
```
&SYSTEM
  ibrav = 0, nat = 10, ntyp = 3
/
ATOMIC_SPECIES
Zn 65.41 Zn.upf
Ga 69.72 Ga.upf
Au 196.97 Au.upf
ATOMIC_POSITIONS crystal
Zn 0.000 0.000 0.207
Zn 0.000 0.000 0.403
Zn 0.000 0.000 0.597
Zn 0.000 0.000 0.793
Ga 0.000 0.000 0.000
Au 0.500 0.500 0.108
Au 0.500 0.500 0.305
Au 0.500 0.500 0.500
Au 0.500 0.500 0.695
Au 0.500 0.500 0.892
CELL_PARAMETERS angstrom
-2.810 0.658 1.361
-1.417 -2.147 -1.887
2.682 -11.546 11.123
```

Entry 7:
The following is a PBE calculation of Zr2GaAu after structural relaxation, from the Alexandria database. Values from VASP.

Values from the calculation:
Symmetry: I-42d (122)
Formation enthalpy at 0 K (meV per atom): -156.5
Magnetization (μB/f.u.): 0.0

Structure (Quantum ESPRESSO input):
```
&SYSTEM
  ibrav = 0, nat = 8, ntyp = 3
/
ATOMIC_SPECIES
Au 196.97 Au.upf
Ga 69.72 Ga.upf
Zr 91.22 Zr.upf
ATOMIC_POSITIONS crystal
Au 0.000 0.000 0.000
Au 0.750 0.250 0.500
Ga 0.500 0.500 0.000
Ga 0.250 0.750 0.500
Zr 0.626 0.125 0.250
Zr 0.124 0.625 0.250
Zr 0.375 0.374 0.750
Zr 0.875 0.876 0.750
CELL_PARAMETERS angstrom
-1.119 5.788 4.816
-5.047 -4.190 3.863
-0.935 -0.210 6.051
```

Entry 8:
The following is a PBE calculation of ZrGa2Au2 after structural relaxation, from the Alexandria database. Values from VASP.

Values from the calculation:
Symmetry: I4/mmm (139)
Formation enthalpy at 0 K (meV per atom): -307.1
Magnetization (μB/f.u.): 0.0

Structure (Quantum ESPRESSO input):
```
&SYSTEM
  ibrav = 0, nat = 5, ntyp = 3
/
ATOMIC_SPECIES
Zr 91.22 Zr.upf
Ga 69.72 Ga.upf
Au 196.97 Au.upf
ATOMIC_POSITIONS crystal
Zr 0.000 0.000 0.000
Ga 0.607 0.607 0.213
Ga 0.393 0.393 0.787
Au 0.250 0.750 0.500
Au 0.750 0.250 0.500
CELL_PARAMETERS angstrom
-3.206 1.511 -2.104
-0.680 -3.722 -1.636
-1.380 -0.125 6.051
```

Entry 9:
The following is a PBE calculation of ZrGa2Au2 after structural relaxation, from the Alexandria database. Values from VASP.

Values from the calculation:
Symmetry: P4/mbm (127)
Formation enthalpy at 0 K (meV per atom): -213.8
Magnetization (μB/f.u.): 0.0

Structure (Quantum ESPRESSO input):
```
&SYSTEM
  ibrav = 0, nat = 10, ntyp = 3
/
ATOMIC_SPECIES
Au 196.97 Au.upf
Ga 69.72 Ga.upf
Zr 91.22 Zr.upf
ATOMIC_POSITIONS crystal
Au 0.370 0.870 0.000
Au 0.870 0.630 0.000
Au 0.630 0.130 0.000
Au 0.130 0.370 0.000
Ga 0.174 0.674 0.500
Ga 0.674 0.826 0.500
Ga 0.826 0.326 0.500
Ga 0.326 0.174 0.500
Zr 0.000 0.000 0.000
Zr 0.500 0.500 0.000
CELL_PARAMETERS angstrom
7.589 0.000 0.000
0.000 7.589 0.000
0.000 0.000 3.261
```

Entry 10:
The following is a PBE calculation of Zr2Ga3Au2 after structural relaxation, from the Alexandria database. Values from VASP.

Values from the calculation:
Symmetry: Cmcm (63)
Formation enthalpy at 0 K (meV per atom): -464.7
Magnetization (μB/f.u.): 0.0

Structure (Quantum ESPRESSO input):
```
&SYSTEM
  ibrav = 0, nat = 14, ntyp = 3
/
ATOMIC_SPECIES
Zr 91.22 Zr.upf
Ga 69.72 Ga.upf
Au 196.97 Au.upf
ATOMIC_POSITIONS crystal
Zr 0.141 0.250 0.282
Zr 0.859 0.750 0.718
Zr 0.976 0.250 0.953
Zr 0.024 0.750 0.047
Ga 0.172 0.750 0.343
Ga 0.828 0.250 0.657
Ga 0.567 0.469 0.134
Ga 0.433 0.531 0.866
Ga 0.433 0.969 0.866
Ga 0.567 0.031 0.134
Au 0.705 0.004 0.410
Au 0.295 0.996 0.590
Au 0.295 0.504 0.590
Au 0.705 0.496 0.410
CELL_PARAMETERS angstrom
4.328 0.000 -1.032
0.000 6.049 0.000
0.077 0.000 9.916
```

Entry 11:
The following is a PBE calculation of ZrGaAu2 after structural relaxation, from the Alexandria database. Values from VASP.

Values from the calculation:
Symmetry: P2_1/m (11)
Formation enthalpy at 0 K (meV per atom): -341.3
Magnetization (μB/f.u.): 0.0

Structure (Quantum ESPRESSO input):
```
&SYSTEM
  ibrav = 0, nat = 8, ntyp = 3
/
ATOMIC_SPECIES
Zr 91.22 Zr.upf
Ga 69.72 Ga.upf
Au 196.97 Au.upf
ATOMIC_POSITIONS crystal
Zr 0.750 0.392 0.852
Zr 0.250 0.608 0.148
Ga 0.750 0.323 0.382
Ga 0.250 0.677 0.618
Au 0.750 0.119 0.116
Au 0.250 0.881 0.884
Au 0.750 0.826 0.389
Au 0.250 0.174 0.611
CELL_PARAMETERS angstrom
-0.177 2.636 1.780
1.100 -2.829 4.298
8.946 1.580 -1.449
```

Entry 12:
The following is a PBE calculation of Zr4GaAu after structural relaxation, from the Alexandria database. Values from VASP.

Values from the calculation:
Symmetry: Pmna (53)
Formation enthalpy at 0 K (meV per atom): -255.0
Energy relative to the lowest polymorph listed for this composition (meV per atom): 141.5
Magnetization (μB/f.u.): 0.0

Structure (Quantum ESPRESSO input):
```
&SYSTEM
  ibrav = 0, nat = 12, ntyp = 3
/
ATOMIC_SPECIES
Zr 91.22 Zr.upf
Ga 69.72 Ga.upf
Au 196.97 Au.upf
ATOMIC_POSITIONS crystal
Zr 0.125 0.781 0.281
Zr 0.375 0.281 0.281
Zr 0.750 0.496 0.246
Zr 0.250 0.004 0.754
Zr 0.750 0.996 0.246
Zr 0.250 0.504 0.754
Zr 0.625 0.719 0.719
Zr 0.875 0.219 0.719
Ga 0.000 0.500 0.500
Ga 0.500 0.000 0.500
Au 0.500 0.500 0.000
Au 0.000 0.000 0.000
CELL_PARAMETERS angstrom
7.916 0.000 0.000
0.000 5.399 -1.471
0.000 -3.884 7.030
```